[1]
Material: Nd3ZrGe6
Method: DFT, GGA-PBE
State: relaxed

magnetic moment	0.000	Bohr magnetons per cell
SG	R-3c
E_form	-0.67	eV/atom
energy	-5.728	eV per atom

Cell: 7.749 7.749 7.749 Å, 97.35 97.35 97.35°
Fractional positions:
Ge: 0.868 0.590 0.513
Ge: 0.013 0.090 0.368
Ge: 0.368 0.013 0.090
Ge: 0.513 0.868 0.590
Ge: 0.910 0.632 0.987
Ge: 0.632 0.987 0.910
Ge: 0.987 0.910 0.632
Ge: 0.410 0.487 0.132
Ge: 0.487 0.132 0.410
Ge: 0.090 0.368 0.013
Ge: 0.590 0.513 0.868
Ge: 0.132 0.410 0.487
Zr: 0.000 0.000 0.000
Zr: 0.500 0.500 0.500
Nd: 0.682 0.818 0.250
Nd: 0.318 0.182 0.750
Nd: 0.250 0.682 0.818
Nd: 0.818 0.250 0.682
Nd: 0.182 0.750 0.318
Nd: 0.750 0.318 0.182

=====

[2]
Material: GdTmCdRh
Method: DFT, GGA-PBE
State: relaxed

magnetic moment	7.108	Bohr magnetons per cell
SG	F-43m
E_form	-0.53	eV/atom
energy	-7.230	eV per atom

Cell: 5.048 5.048 5.048 Å, 60.00 60.00 60.00°
Fractional positions:
Cd: 0.000 0.000 0.000
Gd: 0.750 0.750 0.750
Rh: 0.500 0.500 0.500
Tm: 0.250 0.250 0.250